Entry from the Alexandria database: an optimized crystal structure of Rb3VP2O8 (PBE+U).

Lattice parameters (Å, degrees): 5.4982 5.4982 8.1879 90.00 90.00 120.00
Space group P-3m1 (No. 164)
One atom of each set of equivalent atoms:
Rb 0.0000 0.0000 0.0000 (multiplicity 1)
Rb 0.3333 0.6667 0.7645 (multiplicity 2)
V 0.0000 0.0000 0.5000 (multiplicity 1)
P 0.3333 0.6667 0.2954 (multiplicity 2)
O 0.1779 0.3558 0.3561 (multiplicity 6)
O 0.3333 0.6667 0.1077 (multiplicity 2)

Calculated values
* crystal system: trigonal
* M_tot: 2.00 Bohr magnetons per cell
* total DFT energy (no corrections): -6.56 eV/atom